# 1
Density functional theory data (PBE) for crystalline Tb2YTmMg at its relaxed geometry.

The total moment is 0.00 μB per formula unit.

a b c (Å): 5.5385 6.1167 9.3699
angles (deg): 69.88 90.00 90.00
Atoms (fractional coordinates):
1 Tb 0.7500 0.7459 0.8019
2 Tb 0.7500 0.9802 0.3970
3 Tb 0.2500 0.0198 0.6030
4 Tb 0.2500 0.2541 0.1981
5 Y 0.7500 0.3532 0.6097
6 Y 0.2500 0.6468 0.3903
7 Mg 0.2500 0.4220 0.8015
8 Mg 0.7500 0.5780 0.1985
9 Tm 0.2500 0.8360 0.0008
10 Tm 0.7500 0.1640 0.9992

=====

# 2
Density functional theory data (PBE) for crystalline Tb2Y2TmMg2 at its relaxed geometry.

The total moment is 0.00 μB per formula unit.

a b c (Å): 5.4465 5.4465 8.5830
angles (deg): 71.50 71.50 60.00
Atoms (fractional coordinates):
1 Y 0.1538 0.1538 0.5386
2 Y 0.8462 0.8462 0.4614
3 Tb 0.4254 0.4254 0.7237
4 Tb 0.5746 0.5746 0.2763
5 Mg 0.2885 0.2885 0.1346
6 Mg 0.7115 0.7115 0.8654
7 Tm 0.0000 0.0000 0.0000

=====

Number 1: calculated formation energy 7 kJ/mol of formula units. Number 2: calculated formation energy -4 kJ/mol of formula units.